No. 1
Here is BaSrHg4 after structural relaxation from Alexandria via LeMat-Bulk. Energies are from PBE.

Properties
E_tot in eV per cell: -7.4
Spin magnetization in μB/f.u.: 0.0
Space-group type: I-4m2 (119)
Formation enthalpy at 0 K in meV per atom: -439

abc: 10.115 10.115 10.115
angles: 153.88 153.88 37.27
Element x y z (fractional)
Ba (0.000, 0.000, 0.000)
Sr (0.250, 0.750, 0.500)
Hg (0.419, 0.419, 0.000)
Hg (0.581, 0.581, 0.000)
Hg (0.673, 0.173, 0.500)
Hg (0.827, 0.327, 0.500)

---

No. 2
Here is Zr6Al3N after structural relaxation from Alexandria via LeMat-Bulk. Energies are from PBE.

Properties
E_tot in eV per cell: -151.8
Spin magnetization in μB/f.u.: 0.0
Energy relative to the elements, uncorrected in eV/atom: -0.51
Space-group type: P2_1/c (14)

abc: 5.800 7.319 10.616
angles: 90.00 118.90 90.00
Element x y z (fractional)
Zr (0.086, 0.044, 0.230)
Zr (0.086, 0.456, 0.730)
Zr (0.163, 0.712, 0.051)
Zr (0.163, 0.788, 0.551)
Zr (0.386, 0.145, 0.045)
Zr (0.386, 0.355, 0.545)
Zr (0.614, 0.645, 0.455)
Zr (0.614, 0.855, 0.955)
Zr (0.837, 0.212, 0.449)
Zr (0.837, 0.288, 0.949)
Zr (0.914, 0.544, 0.270)
Zr (0.914, 0.956, 0.770)
Al (0.342, 0.112, 0.740)
Al (0.342, 0.388, 0.240)
Al (0.500, 0.000, 0.500)
Al (0.500, 0.500, 0.000)
Al (0.658, 0.612, 0.760)
Al (0.658, 0.888, 0.260)
N (0.000, 0.000, 0.000)
N (0.000, 0.500, 0.500)

---

No. 3
Here is CdInSi2 after structural relaxation from Alexandria via LeMat-Bulk. Energies are from PBE.

Properties
E_tot in eV per cell: -13.2
Spin magnetization in μB/f.u.: 0.0
Energy relative to the elements, uncorrected in eV/atom: 0.32
Space-group type: Imm2 (44)

abc: 6.413 6.413 6.413
angles: 147.09 142.39 50.82
Element x y z (fractional)
Cd (0.000, 0.000, 0.000)
In (0.304, 0.804, 0.500)
Si (0.570, 0.570, 0.000)
Si (0.707, 0.207, 0.500)

---

No. 4
Here is Pm8ZnS3I4 after structural relaxation from Alexandria via LeMat-Bulk. Energies are from PBE.

Properties
E_tot in eV per cell: -77.9
Spin magnetization in μB/f.u.: 0.0
Energy relative to the elements, uncorrected in eV/atom: -1.25
Space-group type: R-3m (166)

abc: 9.068 9.068 9.068
angles: 54.63 54.63 54.63
Element x y z (fractional)
Pm (0.223, 0.734, 0.734)
Pm (0.228, 0.228, 0.228)
Pm (0.266, 0.266, 0.777)
Pm (0.266, 0.777, 0.266)
Pm (0.734, 0.223, 0.734)
Pm (0.734, 0.734, 0.223)
Pm (0.772, 0.772, 0.772)
Pm (0.777, 0.266, 0.266)
Zn (0.500, 0.500, 0.500)
S (0.000, 0.000, 0.500)
S (0.000, 0.500, 0.000)
S (0.500, 0.000, 0.000)
I (0.000, 0.000, 0.000)
I (0.000, 0.500, 0.500)
I (0.500, 0.000, 0.500)
I (0.500, 0.500, 0.000)

---

No. 5
Here is NpPaBrO6 after structural relaxation from Alexandria via LeMat-Bulk. Energies are from PBE.

Properties
E_tot in eV per cell: -153.2
Spin magnetization in μB/f.u.: 1.0
Energy relative to the elements, uncorrected in eV/atom: -2.53
Space-group type: Imma (74)

abc: 8.077 8.077 8.077
angles: 120.50 115.17 93.85
Element x y z (fractional)
Np (0.000, 0.000, 0.000)
Np (0.500, 0.000, 0.500)
Pa (0.500, 0.000, 0.000)
Pa (0.500, 0.500, 0.500)
Br (0.007, 0.257, 0.750)
Br (0.993, 0.743, 0.250)
O (0.161, 0.911, 0.250)
O (0.189, 0.287, 0.251)
O (0.189, 0.938, 0.901)
O (0.439, 0.689, 0.750)
O (0.463, 0.062, 0.751)
O (0.463, 0.713, 0.401)
O (0.537, 0.287, 0.599)
O (0.537, 0.938, 0.249)
O (0.561, 0.311, 0.250)
O (0.811, 0.062, 0.099)
O (0.811, 0.713, 0.749)
O (0.839, 0.089, 0.750)

---

No. 6
Here is SrLaTa4 after structural relaxation from Alexandria via LeMat-Bulk. Energies are from PBE.

Properties
E_tot in eV per cell: -50.3
Spin magnetization in μB/f.u.: 0.0
Space-group type: F-43m (216)
Formation enthalpy at 0 K in meV per atom: 615

abc: 5.863 5.863 5.863
angles: 60.00 60.00 60.00
Element x y z (fractional)
Sr (0.000, 0.000, 0.000)
La (0.250, 0.250, 0.250)
Ta (0.123, 0.626, 0.626)
Ta (0.626, 0.123, 0.626)
Ta (0.626, 0.626, 0.123)
Ta (0.626, 0.626, 0.626)

---

No. 7
Here is Tl5TeI4 after structural relaxation from Alexandria via LeMat-Bulk. Energies are from PBE.

Properties
E_tot in eV per cell: -26.4
Spin magnetization in μB/f.u.: 0.0
Energy relative to the elements, uncorrected in eV/atom: -0.52
Space-group type: I4/mmm (139)

abc: 18.011 18.011 18.011
angles: 164.42 164.42 22.11
Element x y z (fractional)
Tl (0.000, 0.000, 0.000)
Tl (0.201, 0.201, 0.000)
Tl (0.404, 0.404, 0.000)
Tl (0.596, 0.596, 0.000)
Tl (0.799, 0.799, 0.000)
Te (0.500, 0.500, 0.000)
I (0.099, 0.099, 0.000)
I (0.301, 0.301, 0.000)
I (0.699, 0.699, 0.000)
I (0.901, 0.901, 0.000)

---

No. 8
Here is Sm5Ho3Th after structural relaxation from Alexandria via LeMat-Bulk. Energies are from PBE.

Properties
E_tot in eV per cell: -83.9
Spin magnetization in μB/f.u.: 0.0
Space-group type: I4/mcm (140)
Formation enthalpy at 0 K in meV per atom: 314

abc: 11.236 11.236 11.236
angles: 138.97 138.97 59.43
Element x y z (fractional)
Sm (0.000, 0.000, 0.000)
Sm (0.074, 0.574, 0.912)
Sm (0.162, 0.074, 0.500)
Sm (0.338, 0.838, 0.912)
Sm (0.426, 0.338, 0.500)
Sm (0.500, 0.500, 0.000)
Sm (0.574, 0.662, 0.500)
Sm (0.662, 0.162, 0.088)
Sm (0.838, 0.926, 0.500)
Sm (0.926, 0.426, 0.088)
Ho (0.131, 0.369, 0.500)
Ho (0.250, 0.250, 0.000)
Ho (0.369, 0.869, 0.238)
Ho (0.631, 0.131, 0.762)
Ho (0.750, 0.750, 0.000)
Ho (0.869, 0.631, 0.500)
Th (0.250, 0.750, 0.500)
Th (0.750, 0.250, 0.500)

---

Repeat the first record exactly.
Here is BaSrHg4 after structural relaxation from Alexandria via LeMat-Bulk. Energies are from PBE.

Properties
E_tot in eV per cell: -7.4
Spin magnetization in μB/f.u.: 0.0
Space-group type: I-4m2 (119)
Formation enthalpy at 0 K in meV per atom: -439

abc: 10.115 10.115 10.115
angles: 153.88 153.88 37.27
Element x y z (fractional)
Ba (0.000, 0.000, 0.000)
Sr (0.250, 0.750, 0.500)
Hg (0.419, 0.419, 0.000)
Hg (0.581, 0.581, 0.000)
Hg (0.673, 0.173, 0.500)
Hg (0.827, 0.327, 0.500)